A plane-wave DFT calculation with PBE was carried out for NpSiB after structural relaxation.

Values from the calculation:
The value obtained for the formation energy (no corrections) is -28.0 kJ/mol of atoms. Its density is 10.3 g/cm³. The electronic total energy is -8.64 eV/atom. The calculation puts the polymorph energy (0 for the lowest one) at 0.0000 eV per atom. The total magnetization comes out at 3.5 μB/f.u.

Lattice parameters (Å, degrees): 3.5201 3.5201 4.1601 90.00 90.00 120.00
Space group P-6m2 (No. 187)
Asymmetric unit:
Np 0.0000 0.0000 0.0000 (multiplicity 1)
Si 0.3333 0.6667 0.5000 (multiplicity 1)
B 0.6667 0.3333 0.5000 (multiplicity 1)